The following is a DFT calculation (GGA-PBE) of a relaxed La2MgTlTc crystal.

The density of states at the Fermi level comes out at 4.5 states/eV/cell. Its symmetry is No. 123. Its total magnetization is 0.0 μB/f.u. The calculated total energy is -0.1792 hartree per atom.

Cell: 5.349 5.349 5.314 Å, 90.00 90.00 90.00°
Fractional coordinates of all 5 atoms:
La  0.000  0.500  0.000
La  0.500  0.000  0.000
Mg  0.000  0.000  0.500
Tl  0.500  0.500  0.500
Tc  0.000  0.000  0.000

***

The following is a DFT calculation (GGA-PBE) of a relaxed LaMg2TcW crystal.

The density of states at the Fermi level comes out at 7.5 states/eV/cell. Its symmetry is No. 123. Its total magnetization is 0.0 μB/f.u. The calculated total energy is -0.1479 hartree per atom.

Cell: 5.231 5.231 4.579 Å, 90.00 90.00 90.00°
Fractional coordinates of all 5 atoms:
La  0.000  0.000  0.000
Mg  0.000  0.500  0.000
Mg  0.500  0.000  0.000
Tc  0.000  0.000  0.500
W  0.500  0.500  0.500

***

The following is a DFT calculation (GGA-PBE) of a relaxed LaMgTe3 crystal.

The density of states at the Fermi level comes out at 6.4 states/eV/cell. Its symmetry is No. 221. Its total magnetization is 0.0 μB/f.u. The calculated total energy is -0.1401 hartree per atom.

Cell: 5.441 5.441 5.441 Å, 90.00 90.00 90.00°
Fractional coordinates of all 5 atoms:
La  0.000  0.000  0.000
Mg  0.500  0.500  0.500
Te  0.000  0.500  0.500
Te  0.500  0.000  0.500
Te  0.500  0.500  0.000

***

The following is a DFT calculation (GGA-PBE) of a relaxed La2Mg2Te crystal.

The density of states at the Fermi level comes out at 10.0 states/eV/cell. Its symmetry is No. 127. Its total magnetization is 0.0 μB/f.u. The calculated total energy is -0.1318 hartree per atom.

Cell: 7.904 7.904 4.910 Å, 90.00 90.00 90.00°
Fractional coordinates of all 10 atoms:
La  0.163  0.337  0.000
La  0.337  0.837  0.000
La  0.663  0.163  0.000
La  0.837  0.663  0.000
Mg  0.132  0.632  0.500
Mg  0.368  0.132  0.500
Mg  0.632  0.868  0.500
Mg  0.868  0.368  0.500
Te  0.000  0.000  0.500
Te  0.500  0.500  0.500